No. 1
DFT (GGA-PBE) results for crystalline Pm3PdRh at its relaxed geometry.

## Properties
Electronic total energy = -6.009 eV per atom
Fermi-level density of states = 0.61 states/eV/atom
Offset from the most stable computed form = 0.000 eV per atom
Energy of formation from the pure elements = -0.649 eV/atom

Lattice parameters (Å, degrees): 7.984 4.148 16.016 90.00 90.00 90.00
Space group Pnma (No. 62)
Unique sites:
Pm1 0.019 0.250 0.099 (multiplicity 4)
Pm2 0.135 0.750 0.438 (multiplicity 4)
Pm3 0.174 0.250 0.721 (multiplicity 4)
Pd1 0.109 0.250 0.294 (multiplicity 4)
Rh1 0.243 0.750 0.045 (multiplicity 4)

---

No. 2
DFT (GGA-PBE) results for crystalline KFe2Ir at its relaxed geometry.

## Properties
Electronic total energy = -5.831 eV per atom
Fermi-level density of states = 1.13 states/eV/atom
Offset from the most stable computed form = 0.361 eV per atom
Energy of formation from the pure elements = 0.890 eV/atom

Lattice parameters (Å, degrees): 2.609 5.519 10.707 90.00 90.00 90.00
Space group Immm (No. 71)
Unique sites:
K1 0.000 0.000 0.000 (multiplicity 2)
Fe1 0.000 0.500 0.203 (multiplicity 4)
Ir1 0.000 0.000 0.500 (multiplicity 2)

---

No. 3
DFT (GGA-PBE) results for crystalline LaFeTc2 at its relaxed geometry.

## Properties
Electronic total energy = -7.974 eV per atom
Fermi-level density of states = 1.27 states/eV/atom
Offset from the most stable computed form = 0.356 eV per atom
Energy of formation from the pure elements = 0.557 eV/atom

Lattice parameters (Å, degrees): 5.550 9.187 2.933 90.00 113.33 90.00
Space group C2/m (No. 12)
Unique sites:
La1 0.000 0.000 0.000 (multiplicity 2)
Fe1 0.000 0.500 0.000 (multiplicity 2)
Tc1 0.250 0.250 0.500 (multiplicity 4)

---

No. 4
DFT (GGA-PBE) results for crystalline Sb3PdAu at its relaxed geometry.

## Properties
Electronic total energy = -3.702 eV per atom
Fermi-level density of states = 0.53 states/eV/atom
Offset from the most stable computed form = 0.613 eV per atom
Formation energy (no corrections) = 10.728 kcal/mol of atoms

Lattice parameters (Å, degrees): 5.202 5.202 5.202 90.00 90.00 90.00
Space group Pm-3m (No. 221)
Unique sites:
Sb1 0.000 0.000 0.500 (multiplicity 3)
Pd1 0.000 0.000 0.000 (multiplicity 1)
Au1 0.500 0.500 0.500 (multiplicity 1)

---

No. 5
DFT (GGA-PBE) results for crystalline Rb2TaOsCl6 at its relaxed geometry.

## Properties
Electronic total energy = -4.374 eV per atom
Fermi-level density of states = 0.00 states/eV/atom
Formation energy (no corrections) = -17.627 kcal/mol of atoms

Lattice parameters (Å, degrees): 8.212 8.212 9.094 90.00 90.00 90.00
Space group I4/mmm (No. 139)
Unique sites:
Rb1 0.000 0.500 0.250 (multiplicity 4)
Ta1 0.000 0.000 0.000 (multiplicity 2)
Os1 0.000 0.000 0.500 (multiplicity 2)
Cl1 0.000 0.000 0.258 (multiplicity 4)
Cl2 0.212 0.212 0.000 (multiplicity 8)

---

No. 6
DFT (GGA-PBE) results for crystalline CsCdAs2Se at its relaxed geometry.

## Properties
Electronic total energy = -2.669 eV per atom
Fermi-level density of states = 0.85 states/eV/atom
Offset from the most stable computed form = 0.000 eV per atom
Formation energy (no corrections) = 5.570 kcal/mol of atoms

Lattice parameters (Å, degrees): 5.339 5.339 5.605 90.00 90.00 90.00
Space group P4/mmm (No. 123)
Unique sites:
Cs1 0.000 0.000 0.000 (multiplicity 1)
Cd1 0.500 0.500 0.500 (multiplicity 1)
As1 0.000 0.500 0.500 (multiplicity 2)
Se1 0.500 0.500 0.000 (multiplicity 1)

---

No. 7
DFT (GGA-PBE) results for crystalline LaDy2Ag at its relaxed geometry.

## Properties
Electronic total energy = -4.211 eV per atom
Fermi-level density of states = 1.59 states/eV/atom
Offset from the most stable computed form = 0.161 eV per atom
Energy of formation from the pure elements = 0.035 eV/atom

Lattice parameters (Å, degrees): 5.527 5.527 3.658 90.00 90.00 90.00
Space group P4/mmm (No. 123)
Unique sites:
La1 0.000 0.000 0.000 (multiplicity 1)
Dy1 0.000 0.500 0.500 (multiplicity 2)
Ag1 0.500 0.500 0.000 (multiplicity 1)

---

No. 8
DFT (GGA-PBE) results for crystalline Y3Pa2C4 at its relaxed geometry.

## Properties
Electronic total energy = -8.678 eV per atom
Fermi-level density of states = 0.64 states/eV/atom
Energy of formation from the pure elements = -0.314 eV/atom

Lattice parameters (Å, degrees): 12.000 3.613 8.768 90.00 119.92 90.00
Space group C2/m (No. 12)
Unique sites:
Y1 0.000 0.000 0.000 (multiplicity 2)
Y2 0.203 0.000 0.810 (multiplicity 4)
Pa1 0.100 0.500 0.390 (multiplicity 4)
C1 0.091 0.500 0.882 (multiplicity 4)
C2 0.200 0.000 0.326 (multiplicity 4)

---

No. 9
DFT (GGA-PBE) results for crystalline Al4Cd at its relaxed geometry.

## Properties
Electronic total energy = -2.319 eV per atom
Fermi-level density of states = 0.36 states/eV/atom
Offset from the most stable computed form = 0.748 eV per atom
Energy of formation from the pure elements = 0.858 eV/atom

Lattice parameters (Å, degrees): 5.068 5.068 5.068 90.00 90.00 90.00
Space group Pm-3m (No. 221)
Unique sites:
Al1 0.000 0.000 0.000 (multiplicity 1)
Al2 0.000 0.500 0.500 (multiplicity 3)
Cd1 0.500 0.500 0.500 (multiplicity 1)

---

No. 10
DFT (GGA-PBE) results for crystalline Pr6As2PdSe3 at its relaxed geometry.

## Properties
Electronic total energy = -6.026 eV per atom
Fermi-level density of states = 0.51 states/eV/atom
Formation energy (no corrections) = -35.916 kcal/mol of atoms

Lattice parameters (Å, degrees): 18.718 4.264 8.613 90.00 103.42 90.00
Space group C2/m (No. 12)
Unique sites:
Pr1 0.002 0.000 0.246 (multiplicity 4)
Pr2 0.167 0.500 0.090 (multiplicity 4)
Pr3 0.169 0.500 0.578 (multiplicity 4)
As1 0.166 0.000 0.333 (multiplicity 4)
Pd1 0.000 0.500 0.000 (multiplicity 2)
Se1 0.000 0.500 0.500 (multiplicity 2)
Se2 0.168 0.000 0.833 (multiplicity 4)

---

No. 11
DFT (GGA-PBE) results for crystalline LaOsPd3 at its relaxed geometry.

## Properties
Electronic total energy = -4.733 eV per atom
Fermi-level density of states = 1.47 states/eV/atom
Offset from the most stable computed form = 1.249 eV per atom
Energy of formation from the pure elements = 1.614 eV/atom

Lattice parameters (Å, degrees): 4.958 4.958 4.958 90.00 90.00 90.00
Space group Pm-3m (No. 221)
Unique sites:
La1 0.000 0.000 0.000 (multiplicity 1)
Os1 0.500 0.500 0.500 (multiplicity 1)
Pd1 0.000 0.000 0.500 (multiplicity 3)

---

No. 12
DFT (GGA-PBE) results for crystalline Tb2MnGa3Pt4 at its relaxed geometry.

## Properties
Electronic total energy = -6.040 eV per atom
Fermi-level density of states = 0.57 states/eV/atom
Energy of formation from the pure elements = -0.872 eV/atom

Lattice parameters (Å, degrees): 4.073 4.073 11.241 90.00 90.00 90.00
Space group P-4m2 (No. 115)
Unique sites:
Tb1 0.000 0.500 0.249 (multiplicity 2)
Mn1 0.000 0.000 0.500 (multiplicity 1)
Ga1 0.000 0.500 0.866 (multiplicity 2)
Ga2 0.500 0.500 0.500 (multiplicity 1)
Pt1 0.000 0.000 0.000 (multiplicity 1)
Pt2 0.000 0.500 0.646 (multiplicity 2)
Pt3 0.500 0.500 0.000 (multiplicity 1)